# 1
Below is ZnSiTc2 after structural relaxation, with properties calculated at the PBE-GGA level.

Unit cell a=4.135 b=4.830 c=4.830 alpha=34.95 beta=90.00 gamma=90.00
Fractional coordinates of all 4 atoms:
Zn 0.000 0.000 0.000
Si 0.500 0.161 0.161
Tc 0.000 0.734 0.734
Tc 0.500 0.425 0.425

Computed properties:
E_form (uncorrected) in eV per formula unit: -0.174
Symmetry: Amm2, No. 38
Relative energy among the computed polymorphs in meV/atom: 95.2
DOS at the Fermi energy in states/eV/atom: 0.657

---

# 2
Below is ZnSiTc2 after structural relaxation, with properties calculated at the PBE-GGA level.

Unit cell a=4.247 b=4.247 c=4.247 alpha=60.00 beta=60.00 gamma=60.00
Fractional coordinates of all 4 atoms:
Zn 0.000 0.000 0.000
Si 0.500 0.500 0.500
Tc 0.250 0.250 0.250
Tc 0.750 0.750 0.750

Computed properties:
E_form (uncorrected) in eV per formula unit: -0.304
Symmetry: Fm-3m, No. 225
Relative energy among the computed polymorphs in meV/atom: 62.8
DOS at the Fermi energy in states/eV/atom: 1.030

---

# 3
Below is Zn2SiTc after structural relaxation, with properties calculated at the PBE-GGA level.

Unit cell a=5.026 b=5.026 c=5.026 alpha=138.25 beta=138.25 gamma=60.52
Fractional coordinates of all 4 atoms:
Zn 0.250 0.750 0.500
Zn 0.750 0.250 0.500
Si 0.000 0.000 0.000
Tc 0.500 0.500 0.000

Computed properties:
E_form (uncorrected) in eV per formula unit: -0.289
Symmetry: I4/mmm, No. 139
Relative energy among the computed polymorphs in meV/atom: 87.1
DOS at the Fermi energy in states/eV/atom: 0.262

---

# 4
Below is ZnSiTc2 after structural relaxation, with properties calculated at the PBE-GGA level.

Unit cell a=8.360 b=8.360 c=8.360 alpha=19.46 beta=19.46 gamma=19.46
Fractional coordinates of all 4 atoms:
Zn 0.000 0.000 0.000
Si 0.500 0.500 0.500
Tc 0.245 0.245 0.245
Tc 0.755 0.755 0.755

Computed properties:
E_form (uncorrected) in eV per formula unit: -0.259
Symmetry: R-3m, No. 166
Relative energy among the computed polymorphs in meV/atom: 73.9
DOS at the Fermi energy in states/eV/atom: 0.533

---

Question: The highest E_form (uncorrected) belongs to which entry?
Answer: number 1

---

Question: The highest relative energy among the computed polymorphs belongs to which entry?
Answer: number 1